A relaxed structure of KRe2Sb, computed with PBE.

As for the space group: No. 44. The calculation puts the raw formation energy at 1.04 eV/atom.

Cell lengths 6.3200, 6.3200, 6.3200 Å; angles 151.40, 126.18, 62.07 degrees
Atoms (fractional coordinates):
1 Re 0.7735 0.2735 0.5000
2 Re 0.9366 0.9366 0.0000
3 K 0.2487 0.7487 0.5000
4 Sb 0.5413 0.5413 0.0000